# 1
Li3NiH2 | OQMD | PBE | optimized geometry; total moment = 0.00 μB/f.u.; V = 8.3 A^3/atom; final energy = -3.25 eV per atom
1.0
2.565 0.000 0.000
-1.283 2.222 0.000
0.000 0.000 8.740
Li Ni H
3 1 2
direct
0.000 0.000 0.000
0.333 0.667 0.737
0.667 0.333 0.263
0.000 0.000 0.500
0.333 0.667 0.133
0.667 0.333 0.867



# 2
SrCoB | OQMD | PBE | optimized geometry; total moment = 0.61 μB/f.u.; distance to the lowest polymorph of the same formula = 0.000 eV/atom; V = 18.7 A^3/atom; final energy = -4.15 eV per atom
1.0
0.000 3.038 3.038
3.038 0.000 3.038
3.038 3.038 0.000
Sr Co B
1 1 1
direct
0.000 0.000 0.000
0.500 0.500 0.500
0.750 0.750 0.750



# 3
Sc3FeB2 | OQMD | PBE | optimized geometry; total moment = 1.38 μB/f.u.; V = 15.6 A^3/atom; final energy = -6.58 eV per atom
1.0
3.212 0.000 0.000
-1.606 2.782 0.000
0.000 0.000 20.911
Sc Fe B
6 2 4
direct
0.000 0.000 0.000
0.000 0.000 0.500
0.333 0.667 0.153
0.333 0.667 0.347
0.667 0.333 0.653
0.667 0.333 0.847
0.000 0.000 0.250
0.000 0.000 0.750
0.333 0.667 0.579
0.333 0.667 0.921
0.667 0.333 0.079
0.667 0.333 0.421



# 4
YHf31O64 | OQMD | PBE | optimized geometry; total moment = 0.46 μB/f.u.; distance to the lowest polymorph of the same formula = 0.026 eV/atom; V = 11.1 A^3/atom; final energy = -10.08 eV per atom
1.0
10.060 0.000 0.000
-0.023 10.105 0.000
0.000 -0.010 10.450
Y Hf O
1 31 64
direct
0.000 0.000 0.000
0.002 0.502 0.004
0.003 0.002 0.503
0.003 0.252 0.222
0.003 0.252 0.721
0.003 0.502 0.504
0.004 0.750 0.222
0.005 0.752 0.721
0.233 0.002 0.253
0.234 0.251 0.972
0.234 0.252 0.471
0.235 0.501 0.253
0.235 0.501 0.754
0.235 0.752 0.470
0.236 0.001 0.753
0.236 0.751 0.971
0.501 0.253 0.721
0.502 0.002 0.003
0.502 0.002 0.503
0.502 0.251 0.221
0.502 0.501 0.004
0.502 0.502 0.503
0.503 0.752 0.221
0.504 0.751 0.721
0.732 0.004 0.754
0.733 0.002 0.254
0.733 0.253 0.970
0.734 0.751 0.971
0.735 0.253 0.472
0.735 0.501 0.254
0.735 0.502 0.753
0.735 0.753 0.471
0.097 0.126 0.356
0.098 0.376 0.871
0.098 0.624 0.855
0.099 0.376 0.371
0.099 0.876 0.371
0.100 0.625 0.355
0.106 0.130 0.847
0.107 0.870 0.863
0.138 0.126 0.602
0.138 0.378 0.120
0.139 0.376 0.621
0.139 0.625 0.104
0.139 0.626 0.605
0.140 0.876 0.618
0.144 0.871 0.124
0.146 0.131 0.112
0.333 0.070 0.922
0.333 0.322 0.304
0.334 0.073 0.420
0.334 0.323 0.805
0.334 0.572 0.420
0.334 0.572 0.921
0.336 0.822 0.306
0.339 0.823 0.805
0.403 0.073 0.669
0.403 0.322 0.054
0.403 0.323 0.554
0.403 0.823 0.555
0.404 0.572 0.171
0.404 0.572 0.670
0.405 0.069 0.172
0.406 0.820 0.054
0.591 0.127 0.854
0.598 0.127 0.355
0.598 0.376 0.371
0.598 0.378 0.870
0.598 0.876 0.371
0.599 0.626 0.354
0.599 0.626 0.854
0.600 0.877 0.870
0.637 0.127 0.104
0.637 0.377 0.122
0.638 0.127 0.605
0.638 0.376 0.620
0.639 0.626 0.105
0.639 0.626 0.604
0.639 0.876 0.620
0.640 0.876 0.121
0.821 0.079 0.916
0.832 0.072 0.424
0.833 0.571 0.921
0.834 0.323 0.307
0.834 0.324 0.803
0.834 0.573 0.421
0.835 0.824 0.306
0.838 0.826 0.807
0.898 0.079 0.178
0.901 0.806 0.059
0.903 0.321 0.054
0.903 0.323 0.554
0.904 0.072 0.671
0.904 0.573 0.671
0.904 0.822 0.556
0.906 0.566 0.174



# 5
Sc4Ta2Pb3C3 | OQMD | PBE | optimized geometry; total moment = 0.01 μB/f.u.; V = 17.8 A^3/atom; final energy = -7.87 eV per atom
1.0
5.024 -2.907 0.000
5.024 2.907 0.000
-3.411 0.000 14.640
Sc Ta Pb C
8 4 6 6
direct
0.038 0.185 0.083
0.128 0.306 0.417
0.185 0.038 0.583
0.306 0.128 0.917
0.694 0.872 0.083
0.815 0.962 0.417
0.872 0.694 0.583
0.962 0.815 0.917
0.349 0.525 0.073
0.475 0.651 0.427
0.525 0.349 0.573
0.651 0.475 0.927
0.095 0.905 0.250
0.262 0.417 0.752
0.417 0.262 0.252
0.583 0.738 0.748
0.738 0.583 0.248
0.905 0.095 0.750
0.000 0.500 0.000
0.186 0.657 0.500
0.343 0.814 0.000
0.500 0.000 0.500
0.657 0.186 0.000
0.814 0.343 0.500



# 6
CsNb4N5F | OQMD | PBE | optimized geometry; total moment = 0.37 μB/f.u.; V = 14.3 A^3/atom; final energy = -8.38 eV per atom
1.0
4.155 0.000 0.000
0.000 4.155 0.000
0.000 0.000 9.137
Cs Nb N F
1 4 5 1
direct
0.000 0.000 0.000
0.000 0.500 0.500
0.500 0.000 0.500
0.500 0.500 0.245
0.500 0.500 0.755
0.000 0.000 0.500
0.000 0.500 0.268
0.000 0.500 0.732
0.500 0.000 0.268
0.500 0.000 0.732
0.500 0.500 0.000



# 7
BeNbMo | OQMD | PBE | optimized geometry; total moment = 0.00 μB/f.u.; distance to the lowest polymorph of the same formula = 0.000 eV/atom; V = 15.2 A^3/atom; final energy = -7.83 eV per atom
1.0
0.000 2.838 2.838
2.838 0.000 2.838
2.838 2.838 0.000
Be Nb Mo
1 1 1
direct
0.000 0.000 0.000
0.250 0.250 0.250
0.750 0.750 0.750



# 8
Pu3As2P | OQMD | PBE | optimized geometry; total moment = 14.98 μB/f.u.; V = 24.3 A^3/atom; final energy = -10.68 eV per atom
1.0
4.095 0.000 0.000
-2.048 3.546 0.000
0.000 0.000 10.032
Pu As P
3 2 1
direct
0.000 0.000 0.000
0.333 0.667 0.342
0.667 0.333 0.658
0.333 0.667 0.830
0.667 0.333 0.170
0.000 0.000 0.500



# 9
Si2GePd6 | OQMD | PBE | optimized geometry; V = 14.8 A^3/atom; final energy = -5.79 eV per atom
1.0
6.615 0.000 0.000
-3.308 5.729 0.000
0.000 0.000 3.526
Si Ge Pd
2 1 6
direct
0.333 0.667 0.000
0.667 0.333 0.000
0.000 0.000 0.500
0.000 0.394 0.500
0.000 0.725 0.000
0.275 0.275 0.000
0.394 0.000 0.500
0.606 0.606 0.500
0.725 0.000 0.000



# 10
HoFe4P2 | OQMD | PBE | optimized geometry; total moment = 3.34 μB/f.u.; V = 12.6 A^3/atom; final energy = -7.64 eV per atom
1.0
6.993 0.000 0.000
0.000 6.993 0.000
0.000 0.000 3.594
Ho Fe P
2 8 4
direct
0.000 0.000 0.000
0.500 0.500 0.500
0.081 0.344 0.500
0.156 0.581 0.000
0.344 0.081 0.500
0.419 0.844 0.000
0.581 0.156 0.000
0.656 0.919 0.500
0.844 0.419 0.000
0.919 0.656 0.500
0.220 0.780 0.500
0.280 0.280 0.000
0.720 0.720 0.000
0.780 0.220 0.500



# 11
HfMgCu2 | OQMD | PBE | optimized geometry; total moment = 0.00 μB/f.u.; V = 16.2 A^3/atom; final energy = -4.82 eV per atom
1.0
3.258 -3.276 0.000
3.258 3.276 0.000
0.000 0.000 3.027
Hf Mg Cu
1 1 2
direct
0.000 0.000 0.000
0.500 0.500 0.000
0.000 0.500 0.500
0.500 0.000 0.500



# 12
KLaCoSe3 | OQMD | PBE | optimized geometry; total moment = 3.00 μB/f.u.; distance to the lowest polymorph of the same formula = 0.053 eV/atom; V = 27.8 A^3/atom; final energy = -5.07 eV per atom
1.0
9.966 0.000 0.000
0.000 4.269 0.000
0.000 0.000 15.697
K La Co Se
4 4 4 12
direct
0.056 0.250 0.186
0.444 0.750 0.686
0.556 0.250 0.314
0.944 0.750 0.814
0.184 0.750 0.444
0.316 0.250 0.944
0.684 0.750 0.056
0.816 0.250 0.556
0.143 0.250 0.630
0.357 0.750 0.130
0.643 0.250 0.870
0.857 0.750 0.370
0.021 0.750 0.608
0.169 0.750 0.034
0.204 0.250 0.773
0.296 0.750 0.273
0.331 0.250 0.534
0.479 0.250 0.108
0.521 0.750 0.892
0.669 0.750 0.466
0.704 0.250 0.727
0.796 0.750 0.227
0.831 0.250 0.966
0.979 0.250 0.392